Computed, not measured: a relaxed Dy2FeSn2 crystal at the PBE-GGA level of DFT.

Symmetry: C2/m, No. 12
VASP energy: -28.0 eV per formula unit
Magnetization: 3.32 μB per cell

```
10
Lattice="-4.0596 2.0422 -3.8380 -1.6897 -1.3214 -5.5480 -3.8718 -6.6466 7.7083" Properties=species:S:1:pos:R:3 pbc="T T T"
Dy -1.3319 -2.2192 2.5195
Fe -5.4516 -1.7978 -4.0192
Sn -5.9593 -3.2870 -1.7935
Dy -8.1200 -5.2970 -0.8342
Sn -3.6618 -2.6389 0.1158
Dy -1.5011 -0.6288 -0.8436
Sn -3.2121 -0.4782 -3.5112
Fe -4.1695 -4.1280 2.3415
Dy -8.2892 -3.7066 -4.1973
Sn -6.4090 -5.4477 1.8335
```